Record 1
Material: CaBeN2F
Method: DFT, PBE
State: optimized geometry

Results
E above lowest polymorph in eV/atom: 1.728
Formation energy without anion corrections in eV per atom: 0.93

Unit cell a=4.652 b=4.652 c=4.166 alpha=90.00 beta=90.00 gamma=90.00
Space group P4/mmm (No. 123)
Unique sites:
Ca  0.000  0.000  0.000 x1
Be  0.500  0.500  0.500 x1
N  0.000  0.500  0.000 x2
F  0.000  0.000  0.500 x1


Record 2
Material: CaBeN2F
Method: DFT, PBE
State: optimized geometry

Results
E above lowest polymorph in eV/atom: 0.000
Formation energy without anion corrections in eV per atom: -0.80

Unit cell a=3.353 b=3.353 c=4.593 alpha=90.00 beta=90.00 gamma=90.00
Space group P4/mmm (No. 123)
Unique sites:
Ca  0.000  0.000  0.000 x1
Be  0.500  0.500  0.500 x1
N  0.000  0.500  0.500 x2
F  0.500  0.500  0.000 x1


Record 3
Material: Na2CaBeF6
Method: DFT, PBE
State: optimized geometry

Results
Formation energy without anion corrections in eV per atom: -3.13

Unit cell a=5.433 b=5.433 c=4.628 alpha=90.00 beta=90.00 gamma=90.00
Space group P4mm (No. 99)
Unique sites:
Na  0.000  0.500  0.000 x2
Ca  0.000  0.000  0.593 x1
Be  0.500  0.500  0.589 x1
F  0.000  0.000  0.115 x1
F  0.281  0.281  0.693 x4
F  0.500  0.500  0.256 x1